[1]
Crystalline Li2Nd2Co15 at its relaxed geometry, computed with PBE-GGA.

Properties
Space group: R-3m, No. 166
Uncorrected energy (eV per atom): -6.343
Volume (Å³ per cell): 249.36

abc: 6.3274 6.3274 6.3274
angles: 83.94 83.94 83.94
With the nearest neighbours (Å) after each atom.
Element x y z (fractional)
Li 0.0957 0.0957 0.0957  1 Li 2.31
Co 0.7116 0.0000 0.2884  8 Co 2.37-2.59
Co 0.0000 0.7116 0.2884  8 Co 2.37-2.59
Co 0.2884 0.0000 0.7116  8 Co 2.37-2.59
Co 0.2884 0.7116 0.0000  8 Co 2.37-2.59
Co 0.7116 0.2884 0.0000  8 Co 2.37-2.59
Co 0.5000 0.0000 0.0000  8 Co 2.37-2.45, 2 Li 2.59
Li 0.9043 0.9043 0.9043  1 Li 2.31
Co 0.6548 0.6548 0.1550  8 Co 2.45-2.59, 1 Li 2.64
Co 0.3452 0.8450 0.3452  8 Co 2.45-2.59, 1 Li 2.64
Co 0.0000 0.2884 0.7116  8 Co 2.37-2.59
Co 0.3452 0.3452 0.8450  8 Co 2.45-2.59, 1 Li 2.64
Co 0.6548 0.1550 0.6548  8 Co 2.45-2.59, 1 Li 2.64
Co 0.0000 0.0000 0.5000  8 Co 2.37-2.45, 2 Li 2.59
Nd 0.6565 0.6565 0.6565  1 Li 2.99, 18 Co 3.00-3.24
Co 0.8450 0.3452 0.3452  8 Co 2.45-2.59, 1 Li 2.64
Co 0.1550 0.6548 0.6548  8 Co 2.45-2.59, 1 Li 2.64
Nd 0.3435 0.3435 0.3435  1 Li 2.99, 18 Co 3.00-3.24
Co 0.0000 0.5000 0.0000  8 Co 2.37-2.45, 2 Li 2.59

[2]
Crystalline Li2NdCo9 at its relaxed geometry, computed with PBE-GGA.

Properties
Space group: P4/mbm, No. 127
Uncorrected energy (eV per atom): -6.021
Volume (Å³ per cell): 315.04

abc: 4.8186 8.0858 8.0858
angles: 90.00 90.00 90.00
With the nearest neighbours (Å) after each atom.
Element x y z (fractional)
Li 0.0000 0.3860 0.8860  1 Li 2.61, 12 Co 2.63-2.80
Co 0.2394 0.8207 0.3207  7 Co 2.31-2.52
Co 0.5000 0.2147 0.9309  8 Co 2.37-2.58
Co 0.5000 0.5691 0.2853  8 Co 2.37-2.58
Co 0.2394 0.1793 0.6793  7 Co 2.31-2.52
Li 0.0000 0.8860 0.6140  1 Li 2.61, 12 Co 2.63-2.80
Co 0.5000 0.2853 0.4309  8 Co 2.37-2.58
Co 0.2394 0.3207 0.1793  7 Co 2.31-2.52
Co 0.2394 0.6793 0.8207  7 Co 2.31-2.52
Co 0.7606 0.8207 0.3207  7 Co 2.31-2.52
Li 0.0000 0.6140 0.1140  1 Li 2.61, 12 Co 2.63-2.80
Li 0.0000 0.1140 0.3860  1 Li 2.61, 12 Co 2.63-2.80
Co 0.7606 0.3207 0.1793  7 Co 2.31-2.52
Co 0.5000 0.9309 0.7853  8 Co 2.37-2.58
Co 0.7606 0.6793 0.8207  7 Co 2.31-2.52
Co 0.5000 0.0000 0.5000  8 Co 2.37-2.40
Nd 0.0000 0.0000 0.0000  16 Co 3.02-3.19, 4 Li 3.25
Co 0.5000 0.7147 0.5691  8 Co 2.37-2.58
Co 0.5000 0.4309 0.7147  8 Co 2.37-2.58
Co 0.5000 0.0691 0.2147  8 Co 2.37-2.58
Co 0.5000 0.5000 0.0000  8 Co 2.37-2.40
Nd 0.0000 0.5000 0.5000  16 Co 3.02-3.19, 4 Li 3.25
Co 0.5000 0.7853 0.0691  8 Co 2.37-2.58
Co 0.7606 0.1793 0.6793  7 Co 2.31-2.52

[3]
Crystalline LiNd4Co2 at its relaxed geometry, computed with PBE-GGA.

Properties
Space group: P1, No. 1
Uncorrected energy (eV per atom): -5.000
Volume (Å³ per cell): 348.10

abc: 7.0758 7.0686 8.9209
angles: 120.54 114.89 80.10
With the nearest neighbours (Å) after each atom.
Element x y z (fractional)
Nd 0.9762 0.1418 0.3108  3 Co 2.89-3.06, 1 Li 3.14
Co 0.1413 0.3868 0.9736  1 Li 2.69, 5 Nd 2.86-2.90
Nd 0.4175 0.0833 0.8091  3 Co 2.89-3.06, 1 Li 3.14
Li 0.0981 0.0154 0.9724  1 Co 2.69, 2 Nd 2.94-2.96
Nd 0.7441 0.6193 0.7696  3 Co 2.86-3.01
Co 0.8374 0.5825 0.4739  1 Li 2.69, 5 Nd 2.86-2.89
Nd 0.4002 0.7763 0.2700  3 Co 2.86-3.02
Nd 0.8253 0.5354 0.1303  3 Co 2.85-2.90, 1 Li 2.94
Li 0.2068 0.6215 0.4707  1 Co 2.69, 2 Nd 2.94-2.96
Nd 0.4842 0.2817 0.2800  3 Co 2.71-2.87, 1 Li 2.96
Nd 0.8447 0.0547 0.6308  3 Co 2.86-2.89, 1 Li 2.94
Co 0.4412 0.2312 0.5638  6 Nd 2.71-3.01
Co 0.5835 0.8729 0.0640  6 Nd 2.71-3.02
Nd 0.2493 0.5472 0.7810  3 Co 2.71-2.86, 1 Li 2.96

[4]
Crystalline LiNd4Co at its relaxed geometry, computed with PBE-GGA.

Properties
Offset from the most stable computed form (eV per atom): 0.0000
Space group: F-43m, No. 216
Volume (Å³ per cell): 674.10

abc: 9.8419 9.8419 9.8419
angles: 60.00 60.00 60.00
With the nearest neighbours (Å) after each atom.
Element x y z (fractional)
Co 0.6089 0.1733 0.6089  6 Nd 2.84-2.85
Nd 0.5636 0.5636 0.9364  2 Co 2.85
Nd 0.5636 0.9364 0.5636  2 Co 2.85
Co 0.6089 0.6089 0.6089  6 Nd 2.84-2.85
Nd 0.4057 0.7828 0.4057  3 Co 2.84
Nd 0.9364 0.9364 0.5636  2 Co 2.85
Nd 0.1888 0.8112 0.8112  2 Li 3.40, 2 Co 3.54, 10 Nd 3.54-3.72
Nd 0.5636 0.9364 0.9364  2 Co 2.85
Co 0.6089 0.6089 0.1733  6 Nd 2.84-2.85
Nd 0.8112 0.1888 0.1888  2 Li 3.40, 2 Co 3.54, 10 Nd 3.54-3.72
Nd 0.1888 0.1888 0.8112  2 Li 3.40, 2 Co 3.54, 10 Nd 3.54-3.72
Nd 0.9364 0.5636 0.9364  2 Co 2.85
Li 0.4822 0.1726 0.1726  3 Li 3.05, 3 Nd 3.40
Nd 0.4057 0.4057 0.4057  3 Co 2.84
Co 0.1733 0.6089 0.6089  6 Nd 2.84-2.85
Nd 0.8112 0.1888 0.8112  2 Li 3.40, 2 Co 3.54, 10 Nd 3.54-3.72
Li 0.1726 0.4822 0.1726  3 Li 3.05, 3 Nd 3.40
Nd 0.1888 0.8112 0.1888  2 Li 3.40, 2 Co 3.54, 10 Nd 3.54-3.72
Nd 0.8112 0.8112 0.1888  2 Li 3.40, 2 Co 3.54, 10 Nd 3.54-3.72
Nd 0.9364 0.5636 0.5636  2 Co 2.85
Li 0.1726 0.1726 0.1726  3 Li 3.05, 3 Nd 3.40
Li 0.1726 0.1726 0.4822  3 Li 3.05, 3 Nd 3.40
Nd 0.7828 0.4057 0.4057  3 Co 2.84
Nd 0.4057 0.4057 0.7828  3 Co 2.84

[5]
Crystalline LiNd3Co3 at its relaxed geometry, computed with PBE-GGA.

Properties
Space group: Cmcm, No. 63
Uncorrected energy (eV per atom): -5.375
Volume (Å³ per cell): 289.25

abc: 4.3064 5.4695 13.3590
angles: 90.00 90.00 113.18
With the nearest neighbours (Å) after each atom.
Element x y z (fractional)
Nd 0.1949 0.3898 0.8991  6 Co 2.89-3.06, 2 Li 3.21
Nd 0.8051 0.6102 0.1009  6 Co 2.89-3.06, 2 Li 3.21
Nd 0.1949 0.3898 0.6009  6 Co 2.89-3.06, 2 Li 3.21
Nd 0.4851 0.9703 0.7500  7 Co 2.97-3.03
Co 0.8995 0.7991 0.8964  1 Co 2.28
Nd 0.5149 0.0297 0.2500  7 Co 2.97-3.03
Li 0.5000 0.0000 0.5000  4 Co 2.75
Li 0.5000 0.0000 0.0000  4 Co 2.75
Co 0.8995 0.7991 0.6036  1 Co 2.28
Nd 0.8051 0.6102 0.3991  6 Co 2.89-3.06, 2 Li 3.21
Co 0.1005 0.2009 0.3964  1 Co 2.28
Co 0.2179 0.4357 0.2500  2 Co 2.28
Co 0.1005 0.2009 0.1036  1 Co 2.28
Co 0.7821 0.5643 0.7500  2 Co 2.28

[6]
Crystalline LiNd4Co at its relaxed geometry, computed with PBE-GGA.

Properties
Offset from the most stable computed form (eV per atom): 0.0934
Space group: C2/m, No. 12
Volume (Å³ per cell): 353.26

abc: 6.4067 7.4050 8.4322
angles: 116.05 99.53 90.00
With the nearest neighbours (Å) after each atom.
Element x y z (fractional)
Nd 0.1122 0.6961 0.3922  1 Li 3.00, 1 Co 3.11
Nd 0.0000 0.7546 0.0000  2 Co 2.70
Nd 0.4292 0.6189 0.7560  2 Co 2.72-3.03
Nd 0.4292 0.1372 0.7560  2 Co 2.72-3.03
Nd 0.5708 0.3811 0.2440  2 Co 2.72-3.03
Co 0.6940 0.4779 0.9557  1 Co 2.69, 4 Nd 2.70-2.72
Nd 0.0000 0.2454 0.0000  2 Co 2.70
Li 0.2027 0.1802 0.3604  5 Nd 3.00-3.34
Li 0.7973 0.8198 0.6396  5 Nd 3.00-3.34
Nd 0.8878 0.3039 0.6078  1 Li 3.00, 1 Co 3.11
Nd 0.5708 0.8628 0.2440  2 Co 2.72-3.03
Co 0.3060 0.5221 0.0443  1 Co 2.69, 4 Nd 2.70-2.72

[7]
Crystalline Li3Nd2CoNi12 at its relaxed geometry, computed with PBE-GGA.

Properties
Space group: R-3m, No. 166
Uncorrected energy (eV per atom): -4.902
Volume (Å³ per cell): 258.45

abc: 9.3836 9.3836 9.3836
angles: 36.25 36.25 36.25
With the nearest neighbours (Å) after each atom.
Element x y z (fractional)
Ni 0.9247 0.9247 0.3571  1 Co 2.32, 4 Ni 2.36-2.52, 1 Li 2.58
Nd 0.6471 0.6471 0.6471  12 Ni 2.91-3.20
Ni 0.0753 0.0753 0.6429  1 Co 2.32, 4 Ni 2.36-2.52, 1 Li 2.58
Ni 0.3571 0.9247 0.9247  1 Co 2.32, 4 Ni 2.36-2.52, 1 Li 2.58
Ni 0.4159 0.4159 0.8143  2 Li 2.27, 4 Ni 2.33-2.36
Nd 0.3529 0.3529 0.3529  12 Ni 2.91-3.20
Ni 0.0753 0.6429 0.0753  1 Co 2.32, 4 Ni 2.36-2.52, 1 Li 2.58
Ni 0.6429 0.0753 0.0753  1 Co 2.32, 4 Ni 2.36-2.52, 1 Li 2.58
Ni 0.5841 0.1857 0.5841  2 Li 2.27, 4 Ni 2.33-2.36
Ni 0.8143 0.4159 0.4159  2 Li 2.27, 4 Ni 2.33-2.36
Ni 0.1857 0.5841 0.5841  2 Li 2.27, 4 Ni 2.33-2.36
Ni 0.5841 0.5841 0.1857  2 Li 2.27, 4 Ni 2.33-2.36
Co 0.0000 0.0000 0.0000  6 Ni 2.32
Ni 0.4159 0.8143 0.4159  2 Li 2.27, 4 Ni 2.33-2.36
Li 0.0000 0.5000 0.0000  4 Ni 2.27
Ni 0.9247 0.3571 0.9247  1 Co 2.32, 4 Ni 2.36-2.52, 1 Li 2.58
Li 0.5000 0.0000 0.0000  4 Ni 2.27
Li 0.0000 0.0000 0.5000  4 Ni 2.27